DyErCu2Ge2: relaxed, PBE.

## Properties
total moment = 0.00 μB/cell
theoretical density = 8.8 g/cm3
energy of formation = -684 meV/atom

Unit cell a=4.230 b=4.230 c=7.354 alpha=90.00 beta=90.00 gamma=120.00
Sites, in units of the cell vectors:
Dy: 0.000 0.000 0.000
Er: 0.000 0.000 0.500
Cu: 0.333 0.667 0.744
Cu: 0.667 0.333 0.256
Ge: 0.333 0.667 0.252
Ge: 0.667 0.333 0.748



Dy2ErCu2Ge2: relaxed, PBE.

## Properties
total moment = 0.00 μB/cell
theoretical density = 8.3 g/cm3
energy of formation = -498 meV/atom

Unit cell a=10.336 b=10.336 c=10.336 alpha=23.38 beta=23.38 gamma=23.38
Sites, in units of the cell vectors:
Dy: 0.121 0.121 0.121
Dy: 0.879 0.879 0.879
Er: 0.000 0.000 0.000
Cu: 0.392 0.392 0.392
Cu: 0.608 0.608 0.608
Ge: 0.271 0.271 0.271
Ge: 0.729 0.729 0.729



DyErCuHg: relaxed, PBE.

## Properties
total moment = 0.00 μB/cell
theoretical density = 10.6 g/cm3
energy of formation = -339 meV/atom
energy above the lowest structure with this stoichiometry = 24.8 meV per atom

Unit cell a=5.082 b=5.082 c=5.082 alpha=60.00 beta=60.00 gamma=60.00
Sites, in units of the cell vectors:
Dy: 0.000 0.000 0.000
Er: 0.500 0.500 0.500
Cu: 0.250 0.250 0.250
Hg: 0.750 0.750 0.750



DyErCuHg: relaxed, PBE.

## Properties
total moment = 0.00 μB/cell
theoretical density = 10.7 g/cm3
energy of formation = -363 meV/atom
energy above the lowest structure with this stoichiometry = 0.0 meV per atom

Unit cell a=3.524 b=3.524 c=7.419 alpha=90.00 beta=90.00 gamma=90.00
Sites, in units of the cell vectors:
Dy: 0.000 0.000 0.000
Er: 0.000 0.000 0.547
Cu: 0.500 0.500 0.768
Hg: 0.500 0.500 0.277